DFT (GGA-PBE) results for a relaxed Tl2CoSe crystal.

abc: 3.5248 3.5248 26.5472
angles: 90.00 90.00 120.00
With the nearest neighbours (Å) after each atom.
Space group R3m (No. 160, hexagonal axes)
Inequivalent atoms, fractional coordinates:
Tl 0.0000 0.0000 0.0000  3 Co 2.91
Tl 0.0000 0.0000 0.2267  9 Tl 3.49-3.52, 3 Se 3.58
Co 0.0000 0.0000 0.7451  3 Se 2.26
Se 0.0000 0.0000 0.4491  3 Co 2.26

The calculation puts the total energy at -3.825 eV/atom. The uncorrected formation energy comes out at 0.005 eV/atom. The calculation puts the total magnetization at 0.00 μB per formula unit.

***

DFT (GGA-PBE) results for a relaxed La2Pr3Dy4 crystal.

abc: 17.0520 5.8572 6.5658
angles: 90.00 107.82 90.00
With the nearest neighbours (Å) after each atom.
Space group C2/m (No. 12)
Inequivalent atoms, fractional coordinates:
La 0.1408 0.0000 0.2963  6 Dy 3.41-3.68, 3 Pr 3.54-3.77
Pr 0.0000 0.5000 0.0000  6 Dy 3.69-3.70, 4 Pr 3.81-3.97, 4 La 3.91
Pr 0.1283 0.5000 0.5870  4 Dy 3.40-3.79, 3 La 3.54-3.77, 1 Pr 3.81
Dy 0.0658 0.0000 0.7510  2 Dy 3.37-3.38, 4 Pr 3.40-3.69, 3 La 3.41-3.59
Dy 0.2273 0.5000 0.1431  3 Dy 3.38-3.69, 2 Pr 3.52-3.70, 3 La 3.56-3.68

The calculation puts the total energy at -4.637 eV/atom. The calculation puts the total magnetization at 0.00 μB per formula unit.

***

Which formula does entry 2 have?
La2Pr3Dy4